[1]
VASP calculation (PBE) on an optimized crystal structure of HfZnCo.

energy of formation	0.511	eV per atom

Cell lengths 4.2709, 4.2709, 4.2709 Å; angles 60.00, 60.00, 60.00 degrees
Closest atoms and distances in Å follow each position.
Fractional coordinates of all 3 atoms:
Co1 0.2500 0.2500 0.2500  4 Hf 2.62
Hf1 0.0000 0.0000 0.0000  4 Zn 2.62, 4 Co 2.62
Zn1 0.7500 0.7500 0.7500  4 Hf 2.62

=====

[2]
VASP calculation (PBE) on an optimized crystal structure of HfZnCo2.

energy of formation	-0.197	eV per atom

Cell lengths 4.1107, 4.1107, 7.7682 Å; angles 90.00, 90.00, 120.00 degrees
Closest atoms and distances in Å follow each position.
Fractional coordinates of all 8 atoms:
Co1 0.6667 0.3333 0.0938  1 Co 2.43, 3 Zn 2.48, 4 Hf 2.67
Co2 0.6667 0.3333 0.4062  1 Co 2.43, 3 Zn 2.48, 4 Hf 2.67
Co3 0.3333 0.6667 0.5938  1 Co 2.43, 3 Zn 2.48, 4 Hf 2.67
Co4 0.3333 0.6667 0.9062  1 Co 2.43, 3 Zn 2.48, 4 Hf 2.67
Hf1 0.3333 0.6667 0.2500  8 Co 2.67
Hf2 0.6667 0.3333 0.7500  8 Co 2.67
Zn1 0.0000 0.0000 0.0000  6 Co 2.48
Zn2 0.0000 0.0000 0.5000  6 Co 2.48

=====

[3]
VASP calculation (PBE) on an optimized crystal structure of HfZnCo2.

energy of formation	-0.159	eV per atom

Cell lengths 4.2522, 4.2522, 7.2465 Å; angles 90.00, 90.00, 120.00 degrees
Closest atoms and distances in Å follow each position.
Fractional coordinates of all 8 atoms:
Co1 0.6667 0.3333 0.0981  1 Co 2.20
Co2 0.6667 0.3333 0.4019  1 Co 2.20
Co3 0.3333 0.6667 0.5981  1 Co 2.20
Co4 0.3333 0.6667 0.9019  1 Co 2.20
Hf1 0.0000 0.0000 0.0000  6 Co 2.56
Hf2 0.0000 0.0000 0.5000  6 Co 2.56
Zn1 0.3333 0.6667 0.2500  8 Co 2.52-2.69
Zn2 0.6667 0.3333 0.7500  8 Co 2.52-2.69

=====

[4]
VASP calculation (PBE) on an optimized crystal structure of HfZnCo2.

energy of formation	-0.305	eV per atom

Cell lengths 5.7199, 5.7211, 6.5468 Å; angles 90.00, 90.00, 90.00 degrees
Closest atoms and distances in Å follow each position.
Fractional coordinates of all 16 atoms:
Co1 0.5000 0.0000 0.2499  4 Zn 2.60, 4 Hf 2.60, 4 Co 2.86
Co2 0.5000 0.5000 0.2499  4 Zn 2.60, 4 Hf 2.60, 4 Co 2.86
Co3 0.0000 0.0000 0.2501  4 Zn 2.60, 4 Hf 2.60, 4 Co 2.86
Co4 0.0000 0.5000 0.2501  4 Zn 2.60, 4 Hf 2.60, 4 Co 2.86
Co5 0.0000 0.0000 0.7499  4 Zn 2.60, 4 Hf 2.60, 4 Co 2.86
Co6 0.0000 0.5000 0.7499  4 Zn 2.60, 4 Hf 2.60, 4 Co 2.86
Co7 0.5000 0.0000 0.7501  4 Zn 2.60, 4 Hf 2.60, 4 Co 2.86
Co8 0.5000 0.5000 0.7501  4 Zn 2.60, 4 Hf 2.60, 4 Co 2.86
Hf1 0.7503 0.2500 0.0000  8 Co 2.60, 4 Zn 2.86
Hf2 0.2497 0.7500 0.0000  8 Co 2.60, 4 Zn 2.86
Hf3 0.2503 0.7500 0.5000  8 Co 2.60, 4 Zn 2.86
Hf4 0.7497 0.2500 0.5000  8 Co 2.60, 4 Zn 2.86
Zn1 0.2501 0.2500 0.0000  8 Co 2.60, 4 Hf 2.86
Zn2 0.7499 0.7500 0.0000  8 Co 2.60, 4 Hf 2.86
Zn3 0.7501 0.7500 0.5000  8 Co 2.60, 4 Hf 2.86
Zn4 0.2499 0.2500 0.5000  8 Co 2.60, 4 Hf 2.86

=====

| no. | DFT total energy (eV/atom) |
| --- | --- |
| 1 | -5.60 |
| 2 | -6.55 |
| 3 | -6.52 |
| 4 | -6.66 |